No. 1
Compound: Ba2Au2Br
Source: the Alexandria database
Functional: PBE
Structure: optimized geometry

As for the crystal system: tetragonal. As for the offset from the most stable computed form: 1.42 eV per formula unit. Its uncorrected formation energy is -416 kJ/mol of formula units.

The structure belongs to space group I4/mmm (No. 139); the cell edges are 6.030, 6.030 and 10.543 Å and the angles 90.00°, 90.00° and 90.00°. The distinct sites, in fractional coordinates, are Ba at (0.000, 0.500, 0.250), Au at (0.000, 0.000, 0.129) and Br at (0.000, 0.000, 0.500).



No. 2
Compound: BaAu4Br
Source: the Alexandria database
Functional: PBE
Structure: optimized geometry

As for the crystal system: cubic. Its uncorrected formation energy is -290 kJ/mol of formula units.

The structure belongs to space group F-43m (No. 216); the cell edges are 8.265, 8.265 and 8.265 Å and the angles 90.00°, 90.00° and 90.00°. The distinct sites, in fractional coordinates, are Ba at (0.000, 0.000, 0.000), Au at (0.124, 0.124, 0.376) and Br at (0.250, 0.250, 0.750).



No. 3
Compound: Ba2AuBr
Source: the Alexandria database
Functional: PBE
Structure: optimized geometry

As for the crystal system: tetragonal. As for the offset from the most stable computed form: 0.76 eV per formula unit. Its uncorrected formation energy is -389 kJ/mol of formula units.

The structure belongs to space group I-42d (No. 122); the cell edges are 8.625, 8.625 and 9.397 Å and the angles 90.00°, 90.00° and 90.00°. The distinct sites, in fractional coordinates, are Ba at (0.239, 0.250, 0.125), Au at (0.000, 0.000, 0.000) and Br at (0.000, 0.000, 0.500).



No. 4
Compound: BaAu2Br
Source: the Alexandria database
Functional: PBE
Structure: optimized geometry

As for the crystal system: cubic. As for the offset from the most stable computed form: 1.06 eV per formula unit. Its uncorrected formation energy is -249 kJ/mol of formula units.

The structure belongs to space group F-43m (No. 216); the cell edges are 7.666, 7.666 and 7.666 Å and the angles 90.00°, 90.00° and 90.00°. The distinct sites, in fractional coordinates, are Ba at (0.000, 0.000, 0.000), Au at (0.000, 0.000, 0.500), Au at (0.250, 0.250, 0.250) and Br at (0.250, 0.250, 0.750).



No. 5
Compound: Ba2Au2Br
Source: the Alexandria database
Functional: PBE
Structure: optimized geometry

As for the crystal system: monoclinic. As for the offset from the most stable computed form: 0.00 eV per formula unit. Its uncorrected formation energy is -552 kJ/mol of formula units.

The structure belongs to space group C2/m (No. 12); the cell edges are 8.382, 4.847 and 9.179 Å and the angles 90.00°, 107.70° and 90.00°. The distinct sites, in fractional coordinates, are Ba at (0.079, 0.000, 0.235), Au at (0.169, 0.500, 0.005) and Br at (0.000, 0.500, 0.500).



No. 6
Compound: Ba5Au4Br
Source: the Alexandria database
Functional: PBE
Structure: optimized geometry

As for the crystal system: orthorhombic. Its uncorrected formation energy is -855 kJ/mol of formula units.

The structure belongs to space group Immm (No. 71); the cell edges are 4.756, 6.768 and 24.104 Å and the angles 90.00°, 90.00° and 90.00°. The distinct sites, in fractional coordinates, are Ba at (0.000, 0.000, 0.000), Ba at (0.000, 0.000, 0.198), Ba at (0.000, 0.000, 0.392), Au at (0.000, 0.500, 0.202), Au at (0.000, 0.500, 0.403) and Br at (0.000, 0.500, 0.000).



No. 7
Compound: BaAuBr2
Source: the Alexandria database
Functional: PBE
Structure: optimized geometry

As for the crystal system: cubic. As for the offset from the most stable computed form: 0.99 eV per formula unit. Its uncorrected formation energy is -357 kJ/mol of formula units.

The structure belongs to space group F-43m (No. 216); the cell edges are 7.884, 7.884 and 7.884 Å and the angles 90.00°, 90.00° and 90.00°. The distinct sites, in fractional coordinates, are Ba at (0.000, 0.000, 0.000), Au at (0.250, 0.250, 0.750), Br at (0.000, 0.000, 0.500) and Br at (0.250, 0.250, 0.250).



No. 8
Compound: Ba3AuBr
Source: the Alexandria database
Functional: PBE
Structure: optimized geometry

As for the crystal system: orthorhombic. As for the offset from the most stable computed form: 0.00 eV per formula unit. Its uncorrected formation energy is -433 kJ/mol of formula units.

The structure belongs to space group Cmcm (No. 63); the cell edges are 4.645, 15.497 and 12.640 Å and the angles 90.00°, 90.00° and 90.00°. The distinct sites, in fractional coordinates, are Ba at (0.000, 0.083, 0.250), Ba at (0.000, 0.367, 0.072), Au at (0.000, 0.000, 0.000) and Br at (0.000, 0.239, 0.750).



No. 9
Compound: BaAu2Br
Source: the Alexandria database
Functional: PBE
Structure: optimized geometry

As for the crystal system: cubic. As for the offset from the most stable computed form: 1.98 eV per formula unit. Its uncorrected formation energy is -160 kJ/mol of formula units.

The structure belongs to space group Fm-3m (No. 225); the cell edges are 7.745, 7.745 and 7.745 Å and the angles 90.00°, 90.00° and 90.00°. The distinct sites, in fractional coordinates, are Ba at (0.000, 0.000, 0.000), Au at (0.250, 0.250, 0.250) and Br at (0.000, 0.000, 0.500).



No. 10
Compound: Ba2AuBr
Source: the Alexandria database
Functional: PBE
Structure: optimized geometry

As for the crystal system: orthorhombic. As for the offset from the most stable computed form: 0.67 eV per formula unit. Its uncorrected formation energy is -397 kJ/mol of formula units.

The structure belongs to space group Pmmm (No. 47); the cell edges are 3.994, 5.640 and 6.086 Å and the angles 90.00°, 90.00° and 90.00°. The distinct sites, in fractional coordinates, are Ba at (0.000, 0.000, 0.000), Ba at (0.000, 0.500, 0.500), Au at (0.500, 0.000, 0.500) and Br at (0.500, 0.500, 0.000).



No. 11
Compound: BaAu4Br12
Source: the Alexandria database
Functional: PBE
Structure: optimized geometry

As for the crystal system: cubic. Its uncorrected formation energy is -685 kJ/mol of formula units.

The structure belongs to space group Im-3 (No. 204); the cell edges are 10.345, 10.345 and 10.345 Å and the angles 90.00°, 90.00° and 90.00°. The distinct sites, in fractional coordinates, are Ba at (0.000, 0.000, 0.000), Au at (0.250, 0.250, 0.250) and Br at (0.000, 0.285, 0.192).



No. 12
Compound: BaAu2Br
Source: the Alexandria database
Functional: PBE
Structure: optimized geometry

As for the crystal system: monoclinic. As for the offset from the most stable computed form: 0.61 eV per formula unit. Its uncorrected formation energy is -293 kJ/mol of formula units.

The structure belongs to space group Pm (No. 6); the cell edges are 4.264, 5.098 and 6.655 Å and the angles 90.00°, 108.39° and 90.00°. The distinct sites, in fractional coordinates, are Ba at (0.000, 0.000, 0.000), Au at (0.304, 0.000, 0.603), Au at (0.331, 0.500, 0.666) and Br at (0.589, 0.500, 0.179).



No. 13
Compound: BaAu3Br
Source: the Alexandria database
Functional: PBE
Structure: optimized geometry

As for the crystal system: cubic. As for the offset from the most stable computed form: 0.00 eV per formula unit. Its uncorrected formation energy is 56 kJ/mol of formula units.

The structure belongs to space group Pm-3m (No. 221); the cell edges are 5.369, 5.369 and 5.369 Å and the angles 90.00°, 90.00° and 90.00°. The distinct sites, in fractional coordinates, are Ba at (0.000, 0.000, 0.000), Au at (0.000, 0.500, 0.500) and Br at (0.500, 0.500, 0.500).



No. 14
Compound: Ba2AuBr
Source: the Alexandria database
Functional: PBE
Structure: optimized geometry

As for the crystal system: orthorhombic. As for the offset from the most stable computed form: 0.26 eV per formula unit. Its uncorrected formation energy is -437 kJ/mol of formula units.

The structure belongs to space group Amm2 (No. 38); the cell edges are 6.831, 6.750 and 6.750 Å and the angles 90.00°, 90.00° and 90.00°. The distinct sites, in fractional coordinates, are Ba at (0.000, 0.000, 0.000), Ba at (0.500, 0.000, 0.499), Au at (0.500, 0.000, 0.999) and Br at (0.000, 0.000, 0.500).



No. 15
Compound: Ba3AuBr
Source: the Alexandria database
Functional: PBE
Structure: optimized geometry

As for the crystal system: cubic. As for the offset from the most stable computed form: 1.32 eV per formula unit. Its uncorrected formation energy is -305 kJ/mol of formula units.

The structure belongs to space group Pm-3m (No. 221); the cell edges are 6.429, 6.429 and 6.429 Å and the angles 90.00°, 90.00° and 90.00°. The distinct sites, in fractional coordinates, are Ba at (0.000, 0.000, 0.500), Au at (0.000, 0.000, 0.000) and Br at (0.500, 0.500, 0.500).



No. 16
Compound: Ba2AuBr
Source: the Alexandria database
Functional: PBE
Structure: optimized geometry

As for the crystal system: orthorhombic. As for the offset from the most stable computed form: 0.81 eV per formula unit. Its uncorrected formation energy is -384 kJ/mol of formula units.

The structure belongs to space group Immm (No. 71); the cell edges are 5.264, 6.495 and 8.421 Å and the angles 90.00°, 90.00° and 90.00°. The distinct sites, in fractional coordinates, are Ba at (0.000, 0.000, 0.248), Au at (0.000, 0.500, 0.500) and Br at (0.000, 0.500, 0.000).



No. 17
Compound: BaAuC2Br
Source: the Alexandria database
Functional: PBE
Structure: optimized geometry

As for the crystal system: tetragonal. Its uncorrected formation energy is 993 kJ/mol of formula units.

The structure belongs to space group P4/mmm (No. 123); the cell edges are 4.809, 4.809 and 6.303 Å and the angles 90.00°, 90.00° and 90.00°. The distinct sites, in fractional coordinates, are Ba at (0.000, 0.000, 0.000), Au at (0.500, 0.500, 0.000), C at (0.000, 0.500, 0.500) and Br at (0.000, 0.000, 0.500).



No. 18
Compound: Cs2BaAu2Br6
Source: the Alexandria database
Functional: PBE
Structure: optimized geometry

As for the crystal system: monoclinic. Its uncorrected formation energy is -1289 kJ/mol of formula units.

The structure belongs to space group C2/m (No. 12); the cell edges are 14.970, 8.334 and 8.712 Å and the angles 90.00°, 121.63° and 90.00°. The distinct sites, in fractional coordinates, are Cs at (0.237, 0.000, 0.214), Ba at (0.000, 0.000, 0.500), Au at (0.052, 0.500, 0.202), Br at (0.065, 0.252, 0.822) and Br at (0.248, 0.000, 0.649).



No. 19
Compound: Ba4GeAuBr2
Source: the Alexandria database
Functional: PBE
Structure: optimized geometry

As for the crystal system: monoclinic. Its uncorrected formation energy is -899 kJ/mol of formula units.

The structure belongs to space group P2/m (No. 10); the cell edges are 8.176, 4.841 and 8.649 Å and the angles 90.00°, 107.92° and 90.00°. The distinct sites, in fractional coordinates, are Ba at (0.233, 0.000, 0.220), Ba at (0.252, 0.500, 0.773), Ge at (0.000, 0.500, 0.000), Au at (0.500, 0.000, 0.000), Br at (0.000, 0.000, 0.500) and Br at (0.500, 0.500, 0.500).



No. 20
Compound: Ba4AuIBr2
Source: the Alexandria database
Functional: PBE
Structure: optimized geometry

As for the crystal system: monoclinic. Its uncorrected formation energy is -999 kJ/mol of formula units.

The structure belongs to space group P2/m (No. 10); the cell edges are 8.401, 4.672 and 8.805 Å and the angles 90.00°, 107.64° and 90.00°. The distinct sites, in fractional coordinates, are Ba at (0.228, 0.000, 0.218), Ba at (0.255, 0.500, 0.769), Au at (0.000, 0.500, 0.000), I at (0.000, 0.000, 0.500), Br at (0.500, 0.000, 0.000) and Br at (0.500, 0.500, 0.500).



No. 21
Compound: Ba4AuI2Br
Source: the Alexandria database
Functional: PBE
Structure: optimized geometry

As for the crystal system: monoclinic. Its uncorrected formation energy is -961 kJ/mol of formula units.

The structure belongs to space group P2/m (No. 10); the cell edges are 8.568, 4.686 and 8.961 Å and the angles 90.00°, 107.27° and 90.00°. The distinct sites, in fractional coordinates, are Ba at (0.218, 0.000, 0.210), Ba at (0.249, 0.500, 0.774), Au at (0.000, 0.500, 0.000), I at (0.000, 0.000, 0.500), I at (0.500, 0.500, 0.500) and Br at (0.500, 0.000, 0.000).



No. 22
Compound: Ba6AuI3Br2
Source: the Alexandria database
Functional: PBE
Structure: optimized geometry

As for the crystal system: monoclinic. Its uncorrected formation energy is -1515 kJ/mol of formula units.

The structure belongs to space group C2/m (No. 12); the cell edges are 8.428, 14.555 and 8.733 Å and the angles 90.00°, 108.76° and 90.00°. The distinct sites, in fractional coordinates, are Ba at (0.233, 0.160, 0.223), Ba at (0.244, 0.000, 0.772), Au at (0.000, 0.000, 0.000), I at (0.000, 0.175, 0.500), I at (0.000, 0.500, 0.500) and Br at (0.000, 0.334, 0.000).



No. 23
Compound: Ba6Ir2AuBr3
Source: the Alexandria database
Functional: PBE
Structure: optimized geometry

As for the crystal system: monoclinic. Its uncorrected formation energy is -1163 kJ/mol of formula units.

The structure belongs to space group C2/m (No. 12); the cell edges are 7.982, 13.813 and 8.644 Å and the angles 90.00°, 107.95° and 90.00°. The distinct sites, in fractional coordinates, are Ba at (0.213, 0.000, 0.213), Ba at (0.249, 0.179, 0.787), Ir at (0.000, 0.167, 0.000), Au at (0.000, 0.500, 0.000), Br at (0.000, 0.000, 0.500) and Br at (0.000, 0.337, 0.500).



No. 24
Compound: Ba6IrAu2Br
Source: the Alexandria database
Functional: PBE
Structure: optimized geometry

As for the crystal system: monoclinic. Its uncorrected formation energy is -651 kJ/mol of formula units.

The structure belongs to space group P2_1/c (No. 14); the cell edges are 7.987, 8.819 and 14.044 Å and the angles 90.00°, 122.22° and 90.00°. The distinct sites, in fractional coordinates, are Ba at (0.081, 0.054, 0.236), Ba at (0.236, 0.699, 0.079), Ba at (0.380, 0.167, 0.068), Ir at (0.000, 0.000, 0.000), Au at (0.309, 0.109, 0.756) and Br at (0.500, 0.000, 0.500).



No. 25
Compound: BaMgAuBr2
Source: the Alexandria database
Functional: PBE
Structure: optimized geometry

As for the crystal system: tetragonal. Its uncorrected formation energy is -165 kJ/mol of formula units.

The structure belongs to space group P4/mmm (No. 123); the cell edges are 5.657, 5.657 and 6.033 Å and the angles 90.00°, 90.00° and 90.00°. The distinct sites, in fractional coordinates, are Ba at (0.000, 0.000, 0.000), Mg at (0.500, 0.500, 0.000), Au at (0.000, 0.000, 0.500) and Br at (0.000, 0.500, 0.500).